The following is a DFT calculation (PBEsol) of a geometry-optimized KSb2 structure.

E_form (uncorrected) = -286 meV per atom
SG = No. 139

Cell lengths 3.977, 3.977, 6.774 Å; angles 107.07, 107.07, 90.00 degrees
Sites, in units of the cell vectors:
K1 0.000 0.000 0.000
Sb1 0.295 0.295 0.590
Sb2 0.705 0.705 0.410